[1]
VASP calculation (PBE) on a relaxed Ce3ThGa2 crystal.

Structure (POSCAR):
```
Ce3ThGa2
1.0
4.445 0.000 0.000
-2.222 9.059 0.393
0.000 -3.705 7.232
Ce Th Ga
6 2 4
Cartesian
2.222 5.879 4.282
0.000 -0.525 3.343
0.000 5.566 2.540
0.000 3.248 4.379
2.222 -0.212 5.085
2.222 2.106 3.246
0.000 1.877 0.410
2.222 3.477 7.215
0.000 1.232 6.673
2.222 -0.367 1.290
2.222 4.122 0.952
0.000 5.721 6.336
```

Properties
- Offset from the most stable computed form: 0.000 eV/f.u.
- Calculated formation energy: -330 meV/atom
- SG: No. 12

=====

[2]
VASP calculation (PBE) on a relaxed NbV4W5 crystal.

Structure (POSCAR):
```
NbV4W5
1.0
3.118 0.000 0.000
0.000 3.118 0.000
0.000 0.000 15.614
W V Nb
5 4 1
Cartesian
1.559 1.559 1.693
1.559 1.559 13.921
1.559 1.559 7.807
1.559 1.559 10.863
1.559 1.559 4.751
0.000 0.000 6.278
0.000 0.000 9.336
0.000 0.000 3.207
0.000 0.000 12.407
0.000 0.000 0.000
```

Properties
- Calculated formation energy: -51 meV/atom
- SG: No. 123

=====

[3]
VASP calculation (PBE) on a relaxed AgPdBr4 crystal.

Structure (POSCAR):
```
AgPdBr4
1.0
-2.958 0.656 2.596
3.693 -3.475 5.087
4.506 11.186 2.309
Br Pd Ag
8 2 2
Cartesian
2.777 3.017 2.772
2.085 6.341 3.848
-0.514 1.245 2.536
2.464 5.349 7.219
5.034 9.030 3.463
3.156 2.026 6.143
0.207 -0.664 6.528
5.754 7.121 7.454
2.620 4.183 4.995
0.000 0.000 0.000
0.367 -1.410 3.841
2.253 5.593 1.154
```

Properties
- ΔE_f (raw): -5.6 kcal/mol of atoms
- SG: No. 14

=====

[4]
VASP calculation (PBE) on a relaxed YZnCuNi crystal.

Structure (POSCAR):
```
YZnCuNi
1.0
-3.776 1.861 0.278
0.421 -4.073 0.986
1.848 3.225 3.508
Zn Cu Ni Y
1 1 1 1
Cartesian
1.474 2.445 3.659
-2.627 -0.737 1.270
0.417 0.246 4.028
-1.316 1.792 2.149
```

Properties
- Calculated formation energy: -317 meV/atom
- SG: No. 8

=====

[5]
VASP calculation (PBE) on a relaxed Li2Ge3Se8 crystal.

Structure (POSCAR):
```
Li2Ge3Se8
1.0
6.292 0.000 0.550
0.000 7.173 0.000
-1.931 -3.587 6.609
Se Li Ge
8 2 3
Cartesian
2.454 -1.844 5.426
-0.733 3.587 5.209
1.907 1.742 1.733
-0.903 0.000 5.138
5.094 0.000 1.950
5.264 3.587 2.021
2.454 1.844 5.426
1.907 5.431 1.733
1.340 0.000 3.724
3.021 3.587 3.436
3.146 0.000 0.275
0.000 1.823 0.000
0.000 5.351 0.000
```

Properties
- ΔE_f (raw): -5.8 kcal/mol of atoms
- SG: No. 12

=====

[6]
VASP calculation (PBE) on a relaxed Y3InO crystal.

Structure (POSCAR):
```
Y3InO
1.0
-2.836 2.515 0.062
0.528 -2.187 -3.051
-12.627 -14.438 8.164
Y In O
6 2 2
Cartesian
-11.777 -13.409 5.218
-3.157 -3.610 2.041
-6.586 -4.622 2.173
-9.470 -10.829 6.123
-8.349 -9.488 3.001
-3.157 -0.702 -0.043
-6.313 -7.219 4.082
0.000 0.000 0.000
-10.063 -11.448 4.109
-4.871 -2.662 1.065
```

Properties
- ΔE_f (raw): -28.5 kcal/mol of atoms
- SG: No. 194

=====

[7]
VASP calculation (PBE) on a relaxed Ho2PaIn crystal.

Structure (POSCAR):
```
Ho2PaIn
1.0
-0.534 -2.362 -2.435
2.997 -1.485 0.783
-4.259 -5.362 6.136
Ho Pa In
2 1 1
Cartesian
-1.024 -1.289 1.475
-3.235 -4.073 4.661
-0.898 -4.604 2.242
1.231 -1.924 -0.826
```

Properties
- Offset from the most stable computed form: 0.000 eV/f.u.
- Calculated formation energy: -122 meV/atom
- SG: No. 123